No. 1
Y2ScB2 | PBEsol | optimized geometry

Calculated values
DOS at the Fermi energy in states/eV/f.u.: 3.8
Symmetry: No. 139
E_form in eV/atom: 0.47
Total magnetic moment in μB per atom: 0.153
Crystal system: tetragonal

Lattice parameters (Å, degrees): 4.3906 4.3906 6.0539 111.26 111.26 90.00
Each line ends with the local moment (μB).
Positions (direct):
Y 0.6517 0.6517 0.3034  0.11
B 0.2500 0.7500 0.5000  -0.01
Sc 0.0000 0.0000 0.0000  0.29
B 0.7500 0.2500 0.5000  -0.01
Y 0.3483 0.3483 0.6966  0.11

***

No. 2
ScZn3B | PBEsol | optimized geometry

Calculated values
DOS at the Fermi energy in states/eV/f.u.: 7.3
Symmetry: No. 221
E_form in eV/atom: 1.87
Total magnetic moment in μB per atom: 0.002
Crystal system: cubic

Lattice parameters (Å, degrees): 5.0927 5.0927 5.0927 90.00 90.00 90.00
Positions (direct):
Zn 0.5000 0.0000 0.0000
Zn 0.0000 0.0000 0.5000
Sc 0.0000 0.0000 0.0000
Zn 0.0000 0.5000 0.0000
B 0.5000 0.5000 0.5000